Hf3UPd12 after structural relaxation, computed with PBE-GGA.

POSCAR file:
```
Hf3UPd12
1.0
-3.586 1.865 -0.183
-0.782 -1.130 3.806
6.825 13.660 5.459
Hf U Pd
3 1 12
direct
0.000 0.000 0.254
0.000 0.000 0.500
0.000 0.000 0.746
0.000 0.000 0.000
0.500 0.500 0.000
0.500 0.500 0.256
0.500 0.500 0.500
0.500 0.500 0.744
0.500 0.000 0.133
0.500 0.000 0.378
0.500 0.000 0.622
0.500 0.000 0.867
0.000 0.500 0.133
0.000 0.500 0.378
0.000 0.500 0.622
0.000 0.500 0.867
```

Output
ΔE_f ... -17.68 kcal/mol of atoms

LiLaThTl after structural relaxation, computed with PBE-GGA.

POSCAR file:
```
LiLaThTl
1.0
5.477 0.000 0.000
2.739 4.744 0.000
2.739 1.581 4.472
Tl Li Th La
1 1 1 1
direct
0.500 0.500 0.500
0.000 0.000 0.000
0.750 0.750 0.750
0.250 0.250 0.250
```

Output
ΔE_f ... -1.00 kcal/mol of atoms